# BaMnPb2 (PBEsol, relaxed)
data_BaMnPb2
_chemical_formula_sum 'Ba4 Mn4 Pb8'
_cell_length_a 7.723
_cell_length_b 7.723
_cell_length_c 7.723
_cell_angle_alpha 90.00
_cell_angle_beta 90.00
_cell_angle_gamma 90.00
_symmetry_space_group_name_H-M 'F m -3 m'
_symmetry_Int_Tables_number 225
_symmetry_space_group_name_Hall '-F 4 2 3'
loop_
_atom_site_label
_atom_site_type_symbol
_atom_site_fract_x
_atom_site_fract_y
_atom_site_fract_z
_atom_site_occupancy
Ba1 Ba 0.000 0.000 0.000 1
Mn1 Mn 0.000 0.000 0.500 1
Pb1 Pb 0.250 0.250 0.250 1
# total magnetization	16.913	μB/cell
# energy relative to the elements	178	meV/atom
# calculated total energy	-4.799	eV per atom

# BaMnPb2 (PBEsol, relaxed)
data_BaMnPb2
_chemical_formula_sum 'Ba2 Mn2 Pb4'
_cell_length_a 3.475
_cell_length_b 6.123
_cell_length_c 10.690
_cell_angle_alpha 90.00
_cell_angle_beta 90.00
_cell_angle_gamma 90.00
_symmetry_space_group_name_H-M 'I m m m'
_symmetry_Int_Tables_number 71
_symmetry_space_group_name_Hall '-I 2 2'
loop_
_atom_site_label
_atom_site_type_symbol
_atom_site_fract_x
_atom_site_fract_y
_atom_site_fract_z
_atom_site_occupancy
Ba1 Ba 0.000 0.000 0.000 1
Mn1 Mn 0.000 0.000 0.500 1
Pb1 Pb 0.000 0.500 0.211 1
# total magnetization	6.567	μB/cell
# energy relative to the elements	163	meV/atom
# calculated total energy	-4.814	eV per atom

# BaMnPd2 (PBEsol, relaxed)
data_BaMnPd2
_chemical_formula_sum 'Ba4 Mn4 Pd8'
_cell_length_a 6.936
_cell_length_b 6.936
_cell_length_c 6.936
_cell_angle_alpha 90.00
_cell_angle_beta 90.00
_cell_angle_gamma 90.00
_symmetry_space_group_name_H-M 'F m -3 m'
_symmetry_Int_Tables_number 225
_symmetry_space_group_name_Hall '-F 4 2 3'
loop_
_atom_site_label
_atom_site_type_symbol
_atom_site_fract_x
_atom_site_fract_y
_atom_site_fract_z
_atom_site_occupancy
Ba1 Ba 0.000 0.000 0.000 1
Mn1 Mn 0.000 0.000 0.500 1
Pd1 Pd 0.250 0.250 0.250 1
# total magnetization	17.564	μB/cell
# energy relative to the elements	201	meV/atom
# calculated total energy	-5.756	eV per atom

# BaMnPt (PBEsol, relaxed)
data_BaMnPt
_chemical_formula_sum 'Ba2 Mn2 Pt2'
_cell_length_a 3.539
_cell_length_b 3.539
_cell_length_c 11.308
_cell_angle_alpha 90.00
_cell_angle_beta 90.00
_cell_angle_gamma 90.00
_symmetry_space_group_name_H-M 'I 4 m m'
_symmetry_Int_Tables_number 107
_symmetry_space_group_name_Hall 'I 4 -2'
loop_
_atom_site_label
_atom_site_type_symbol
_atom_site_fract_x
_atom_site_fract_y
_atom_site_fract_z
_atom_site_occupancy
Ba1 Ba 0.000 0.000 0.000 1
Mn1 Mn 0.000 0.000 0.272 1
Pt1 Pt 0.000 0.000 0.714 1
# total magnetization	7.918	μB/cell
# energy relative to the elements	59	meV/atom
# calculated total energy	-6.233	eV per atom